VASP calculation (PBE-GGA) on NbTe2Au2 after structural relaxation.

CIF file:
```
data_NbTe2Au2
_symmetry_space_group_name_H-M 'P 4/m b m'
_symmetry_Int_Tables_number 127
_symmetry_space_group_name_Hall '-P 4 2ab'
_cell_length_a 7.569
_cell_length_b 7.569
_cell_length_c 3.914
_cell_angle_alpha 90.00
_cell_angle_beta 90.00
_cell_angle_gamma 90.00
loop_
_atom_site_label
_atom_site_type_symbol
_atom_site_fract_x
_atom_site_fract_y
_atom_site_fract_z
Nb1 Nb 0.000 0.000 0.000
Te1 Te 0.184 0.316 0.500
Au1 Au 0.129 0.629 0.000
```

Results
total moment	1.78	μB per formula unit
E_form (uncorrected)	1.530	eV/f.u.